# 1
This record from Alexandria describes a geometry-optimized Cu5Re3 structure. The functional is PBE-GGA.

Geometry as POSCAR:
```
Cu5Re3
1.0
7.5525 0.0000 0.0000
-3.7762 6.5406 0.0000
0.0000 0.0000 4.4804
Cu Re
10 6
Cartesian
-0.7519 1.3023 1.1201
-3.0243 5.2383 3.3603
1.5038 0.0000 1.1201
0.7519 1.3023 3.3603
0.0000 4.3604 0.0000
0.0000 4.3604 2.2402
3.7762 2.1802 0.0000
3.7762 2.1802 2.2402
6.0486 0.0000 3.3603
3.0243 5.2383 1.1201
-1.5627 2.7066 3.3603
-2.2136 3.8340 1.1201
3.1253 0.0000 3.3603
1.5627 2.7066 1.1201
4.4272 0.0000 1.1201
2.2136 3.8340 3.3603
```

The density of states at the Fermi level comes out at 12.46 states/eV/cell. The calculated volume comes out at 111 Å³/f.u. The value obtained for the calculated formation energy is 4.61 eV/f.u. Its space group is P6_3/mcm.


# 2
This record from Alexandria describes a geometry-optimized LaDyHo3Er structure. The functional is PBE-GGA.

Geometry as POSCAR:
```
LaDyHo3Er
1.0
9.8572 -2.8041 0.0000
9.8572 2.8041 0.0000
-0.0536 0.0000 7.1026
La Dy Ho Er
2 2 6 2
Cartesian
2.8034 0.0000 0.1996
16.8574 0.0000 6.9029
2.9495 0.0000 3.2182
16.7113 0.0000 3.8844
0.4275 0.0000 5.1596
5.4531 0.0000 5.4067
6.6263 0.0000 1.9798
13.0345 0.0000 5.1228
14.2077 0.0000 1.6959
19.2333 0.0000 1.9430
8.7354 0.0000 5.0653
10.9254 0.0000 2.0373
```

The density of states at the Fermi level comes out at 18.14 states/eV/cell. The calculated volume comes out at 196 Å³/f.u. The value obtained for the calculated formation energy is 1.32 eV/f.u. Its space group is C2/m.


# 3
This record from Alexandria describes a geometry-optimized Ho8AgPd2 structure. The functional is PBE-GGA.

Geometry as POSCAR:
```
Ho8AgPd2
1.0
4.2285 -6.6708 0.0000
4.2285 6.6708 0.0000
-1.5869 0.0000 5.3334
Ho Ag Pd
8 1 2
Cartesian
0.0000 0.0000 0.0000
0.5265 1.6574 3.1760
2.9288 3.1108 1.0028
0.5265 -1.6574 3.1760
3.7434 1.6576 4.1663
2.9288 -3.1108 1.0028
3.7434 -1.6576 4.1663
5.8566 0.0000 2.0076
2.9437 0.0000 0.9579
2.1354 4.0306 3.6690
2.1354 -4.0306 3.6690
```

The density of states at the Fermi level comes out at 14.55 states/eV/cell. The calculated volume comes out at 301 Å³/f.u. The value obtained for the calculated formation energy is -2.94 eV/f.u. Its space group is Cm.


# 4
This record from Alexandria describes a geometry-optimized Be4HgPd5 structure. The functional is PBE-GGA.

Geometry as POSCAR:
```
Be4HgPd5
1.0
2.8575 0.0000 0.0000
0.0000 2.8575 0.0000
0.0000 0.0000 15.5533
Be Hg Pd
4 1 5
Cartesian
0.0000 0.0000 1.3982
0.0000 0.0000 4.2399
0.0000 0.0000 11.3134
0.0000 0.0000 14.1552
0.0000 0.0000 7.7767
1.4287 1.4287 0.0000
1.4287 1.4287 2.7769
1.4287 1.4287 5.5582
1.4287 1.4287 9.9952
1.4287 1.4287 12.7765
```

The density of states at the Fermi level comes out at 3.27 states/eV/cell. The calculated volume comes out at 127 Å³/f.u. The value obtained for the calculated formation energy is -5.08 eV/f.u. Its space group is P4/mmm.


# 5
This record from Alexandria describes a geometry-optimized Be2Ni2Sb structure. The functional is PBE-GGA.

Geometry as POSCAR:
```
Be2Ni2Sb
1.0
-1.6232 1.6232 5.9421
1.6232 -1.6232 5.9421
1.6232 1.6232 -5.9421
Be Ni Sb
2 2 1
Cartesian
1.6232 0.0000 2.9710
0.0000 1.6232 2.9710
0.0000 0.0000 1.3567
0.0000 0.0000 10.5275
0.0000 0.0000 5.9421
```

For the formation energy without anion corrections, the calculation gives -0.024 eV/atom. The density of states at the Fermi level comes out at 1.43 states/eV/cell. The calculated volume comes out at 63 Å³/f.u. Its space group is I4/mmm.


# 6
This record from Alexandria describes a geometry-optimized LiMn2Fe structure. The functional is PBE-GGA.

Geometry as POSCAR:
```
LiMn2Fe
1.0
4.2132 -1.2695 0.0000
4.2132 1.2695 0.0000
-0.6838 0.0000 4.4818
Li Mn Fe
1 2 1
Cartesian
0.0000 0.0000 0.0000
1.5218 0.0000 3.2041
3.7962 0.0000 2.2280
6.2186 0.0000 0.9602
```

The density of states at the Fermi level comes out at 4.11 states/eV/cell. The calculated volume comes out at 48 Å³/f.u. The value obtained for the calculated formation energy is 1.12 eV/f.u. Its space group is Cm.


# 7
This record from Alexandria describes a geometry-optimized MnSb2Pt structure. The functional is PBE-GGA.

Geometry as POSCAR:
```
MnSb2Pt
1.0
2.0272 1.1704 6.1141
-2.0272 1.1704 6.1141
0.0000 -2.3409 6.1141
Mn Sb Pt
1 2 1
Cartesian
0.0000 0.0000 0.0000
0.0000 0.0000 4.5030
0.0000 0.0000 13.8392
0.0000 0.0000 9.1711
```

For the formation energy without anion corrections, the calculation gives -0.011 eV/atom. The density of states at the Fermi level comes out at 2.29 states/eV/cell. The calculated volume comes out at 87 Å³/f.u. Its space group is R-3m.


# 8
This record from Alexandria describes a geometry-optimized Ce2Zn5Pt3 structure. The functional is PBE-GGA.

Geometry as POSCAR:
```
Ce2Zn5Pt3
1.0
-5.6206 5.8164 2.8824
5.6206 -5.8164 2.8824
5.6206 5.8164 -2.8824
Ce Zn Pt
4 10 6
Cartesian
1.3965 2.8235 0.0000
7.0171 2.9929 0.0000
-1.3965 2.8235 2.8824
4.2241 2.9929 2.8824
9.7743 1.5036 0.0000
2.9127 0.0000 1.4412
5.6206 0.0000 1.4412
8.3285 0.0000 1.4412
4.1537 4.3128 0.0000
1.4669 1.5036 2.8824
-2.7079 5.8164 1.4412
0.0000 5.8164 1.4412
2.7079 5.8164 1.4412
-4.1537 4.3128 2.8824
4.2443 1.7917 0.0000
0.0000 0.0000 1.4412
4.2443 -1.7917 2.8824
1.3763 7.6081 0.0000
0.0000 0.0000 4.3236
1.3763 4.0247 2.8824
```

The density of states at the Fermi level comes out at 26.68 states/eV/cell. The calculated volume comes out at 188 Å³/f.u. The value obtained for the calculated formation energy is -6.39 eV/f.u. Its space group is Ibam.


# 9
This record from Alexandria describes a geometry-optimized Nd2PRh structure. The functional is PBE-GGA.

Geometry as POSCAR:
```
Nd2PRh
1.0
5.7991 0.0000 0.0000
0.0000 4.2758 0.0000
-2.8775 0.0000 7.5570
Nd P Rh
4 2 2
Cartesian
0.0872 1.0690 3.1480
-1.3938 1.0690 7.1071
4.3153 3.2069 0.4499
2.8343 3.2069 4.4090
-0.0749 3.2069 5.3325
2.9964 1.0690 2.2245
1.4833 3.2069 1.6408
1.4382 1.0690 5.9163
```

The density of states at the Fermi level comes out at 3.74 states/eV/cell. The calculated volume comes out at 94 Å³/f.u. The value obtained for the calculated formation energy is -3.98 eV/f.u. Its space group is P2_1/m.


# 10
This record from Alexandria describes a geometry-optimized K2AcSi2O6 structure. The functional is PBE-GGA.

Geometry as POSCAR:
```
K2AcSi2O6
1.0
5.2550 -3.0309 0.0000
5.2550 3.0309 0.0000
-3.7641 0.0000 6.2127
K Ac Si O
2 1 2 6
Cartesian
1.5748 0.0000 0.9270
5.1711 0.0000 5.2858
-1.8820 0.0000 3.1064
1.7691 0.0000 4.9520
4.9768 0.0000 1.2608
4.1106 1.3678 1.3939
0.3204 0.0000 4.2373
2.6353 1.3678 4.8189
4.1106 -1.3678 1.3939
6.4254 0.0000 1.9755
2.6353 -1.3678 4.8189
```

For the formation energy without anion corrections, the calculation gives -2.520 eV/atom. The calculated volume comes out at 198 Å³/f.u. Its space group is C2/m.


# 11
This record from Alexandria describes a geometry-optimized HgIrSe2 structure. The functional is PBE-GGA.

Geometry as POSCAR:
```
HgIrSe2
1.0
0.0000 3.3677 3.3677
3.3677 0.0000 3.3677
3.3677 3.3677 0.0000
Hg Ir Se
1 1 2
Cartesian
0.0000 0.0000 0.0000
5.0515 5.0515 5.0515
1.6838 1.6838 1.6838
3.3677 3.3677 3.3677
```

For the formation energy without anion corrections, the calculation gives 0.790 eV/atom. The density of states at the Fermi level comes out at 3.43 states/eV/cell. The calculated volume comes out at 76 Å³/f.u. Its space group is F-43m.


# 12
This record from Alexandria describes a geometry-optimized Nd8Ge3Te4O structure. The functional is PBE-GGA.

Geometry as POSCAR:
```
Nd8Ge3Te4O
1.0
7.4092 -4.2754 0.0000
7.4092 4.2754 0.0000
-4.9391 0.0000 7.2911
Nd Ge Te O
8 3 4 1
Cartesian
3.7501 2.2161 5.1983
-0.0795 0.0000 5.2058
6.1292 2.2161 2.0928
2.4698 0.0000 1.9892
7.4095 0.0000 5.3019
3.7501 -2.2161 5.1983
9.9588 0.0000 2.0853
6.1292 -2.2161 2.0928
1.2350 2.1377 3.6456
1.2350 -2.1377 3.6456
4.9396 0.0000 3.6456
0.0000 0.0000 0.0000
3.7046 2.1377 0.0000
3.7046 -2.1377 0.0000
7.4092 0.0000 0.0000
-2.4696 0.0000 3.6456
```

For the formation energy without anion corrections, the calculation gives -1.367 eV/atom. The density of states at the Fermi level comes out at 4.52 states/eV/cell. The calculated volume comes out at 462 Å³/f.u. Its space group is C2/m.


Please write out number 2 again, unchanged.
This record from Alexandria describes a geometry-optimized LaDyHo3Er structure. The functional is PBE-GGA.

Geometry as POSCAR:
```
LaDyHo3Er
1.0
9.8572 -2.8041 0.0000
9.8572 2.8041 0.0000
-0.0536 0.0000 7.1026
La Dy Ho Er
2 2 6 2
Cartesian
2.8034 0.0000 0.1996
16.8574 0.0000 6.9029
2.9495 0.0000 3.2182
16.7113 0.0000 3.8844
0.4275 0.0000 5.1596
5.4531 0.0000 5.4067
6.6263 0.0000 1.9798
13.0345 0.0000 5.1228
14.2077 0.0000 1.6959
19.2333 0.0000 1.9430
8.7354 0.0000 5.0653
10.9254 0.0000 2.0373
```

The density of states at the Fermi level comes out at 18.14 states/eV/cell. The calculated volume comes out at 196 Å³/f.u. The value obtained for the calculated formation energy is 1.32 eV/f.u. Its space group is C2/m.


Which value of calculated volume does entry 5 give? 63 Å³/f.u.